Density functional theory data (PBE) for crystalline Ac5LaTe8 at its relaxed geometry.

Computed properties:
Energy relative to the elements, uncorrected   -1.580 eV/atom

a b c (Å): 9.933 9.933 9.947
angles (deg): 90.00 90.00 90.00
Space group I-4 (No. 82)
Unique sites:
Ac 0.000 0.000 0.000
Ac 0.125 0.250 0.625
La 0.000 0.500 0.250
Te 0.075 0.178 0.298
Te 0.076 0.328 0.953


Density functional theory data (PBE) for crystalline AcLa5Te6 at its relaxed geometry.

Computed properties:
Energy relative to the elements, uncorrected   -1.579 eV/atom

a b c (Å): 7.971 13.853 7.983
angles (deg): 90.00 109.62 90.00
Space group C2/m (No. 12)
Unique sites:
Ac 0.000 0.000 0.000
La 0.000 0.164 0.500
La 0.000 0.333 0.000
La 0.000 0.500 0.500
Te 0.244 0.500 0.251
Te 0.246 0.331 0.746


Density functional theory data (PBE) for crystalline AcLa6Te8 at its relaxed geometry.

Computed properties:
Energy relative to the elements, uncorrected   -1.591 eV/atom

a b c (Å): 12.957 12.957 12.957
angles (deg): 90.00 90.00 90.00
Space group Fm-3m (No. 225)
Unique sites:
Ac 0.000 0.000 0.000
La 0.000 0.250 0.250
Te 0.000 0.000 0.259
Te 0.250 0.250 0.250


Density functional theory data (PBE) for crystalline AcLaTe2 at its relaxed geometry.

Computed properties:
Excess energy over the best structure of this formula in the dataset   0.4232 eV/atom
Energy relative to the elements, uncorrected   -1.112 eV/atom

a b c (Å): 4.5541 4.5541 30.6273
angles (deg): 90.00 90.00 120.00
Space group R-3m (No. 166, hexagonal axes)
Unique sites:
Ac 0.0000 0.0000 0.0000
La 0.0000 0.0000 0.5000
Te 0.0000 0.0000 0.1064


Density functional theory data (PBE) for crystalline AcLa4Te6 at its relaxed geometry.

Computed properties:
Energy relative to the elements, uncorrected   -1.589 eV/atom

a b c (Å): 4.540 15.023 23.279
angles (deg): 90.00 90.00 90.00
Space group Cmcm (No. 63)
Unique sites:
Ac 0.000 0.160 0.250
La 0.000 0.089 0.625
La 0.000 0.359 0.537
Te 0.000 0.000 0.000
Te 0.000 0.180 0.750
Te 0.000 0.267 0.093
Te 0.000 0.448 0.666


Density functional theory data (PBE) for crystalline AcLaTe2 at its relaxed geometry.

Computed properties:
Excess energy over the best structure of this formula in the dataset   0.1086 eV/atom
Energy relative to the elements, uncorrected   -1.427 eV/atom

a b c (Å): 8.004 8.004 8.004
angles (deg): 90.00 90.00 90.00
Space group Fm-3m (No. 225)
Unique sites:
Ac 0.000 0.000 0.000
La 0.000 0.000 0.500
Te 0.250 0.250 0.250


Density functional theory data (PBE) for crystalline AcLaTe3 at its relaxed geometry.

Computed properties:
Excess energy over the best structure of this formula in the dataset   0.0000 eV/atom
Energy relative to the elements, uncorrected   -1.613 eV/atom

a b c (Å): 8.624 4.686 17.947
angles (deg): 90.00 90.00 90.00
Space group Pnma (No. 62)
Unique sites:
Ac 0.136 0.250 0.202
La 0.230 0.750 0.458
Te 0.005 0.250 0.392
Te 0.123 0.750 0.063
Te 0.153 0.250 0.783


Density functional theory data (PBE) for crystalline AcLaTe at its relaxed geometry.

Computed properties:
Excess energy over the best structure of this formula in the dataset   0.0394 eV/atom
Energy relative to the elements, uncorrected   -0.816 eV/atom

a b c (Å): 4.081 4.081 13.479
angles (deg): 90.00 90.00 90.00
Space group I4mm (No. 107)
Unique sites:
Ac 0.000 0.000 0.000
La 0.000 0.000 0.284
Te 0.000 0.000 0.655